A relaxed Rb2CoAsO4 crystal, computed with PBE with a Hubbard U.

Values from the calculation:
* mass density: 3.70 g/cm³
* density of states at the Fermi level: 0.373 states/eV/atom
* uncorrected energy: -41.3 eV per formula unit

Geometry as extended XYZ:
```
16
Lattice="5.474 0.000 0.000 2.737 6.043 0.000 2.737 0.000 10.018" Properties=species:S:1:pos:R:3 pbc="T T T"
Rb 2.737 0.000 6.536
Rb 5.474 0.000 3.482
Rb 6.843 3.022 8.492
Rb 6.843 3.022 1.527
Co 6.843 3.022 5.009
Co 0.000 0.000 0.000
As 4.106 3.022 5.009
As 2.737 0.000 0.000
O 4.353 5.050 0.890
O 4.353 0.994 9.128
O 9.332 5.050 9.128
O 3.858 0.994 0.890
O 5.227 4.016 4.119
O 5.227 2.028 5.900
O 8.458 4.016 5.900
O 2.984 2.028 4.119
```